Density functional theory data (PBE) for a relaxed structure of Ce2SnBi.

Structure (extended XYZ):
```
8
Lattice="2.3165 -12.3705 0.0000 2.3165 12.3705 0.0000 0.0000 0.0000 4.5075" Properties=species:S:1:pos:R:3 pbc="T T T"
Ce 2.3165 10.8680 3.3806
Ce 2.3165 4.4606 3.3806
Ce 2.3165 -4.4606 1.1269
Ce 2.3165 -10.8680 1.1269
Sn 2.3165 1.1308 3.3806
Sn 2.3165 -1.1308 1.1269
Bi 2.3165 7.6917 3.3806
Bi 2.3165 -7.6917 1.1269
```

The calculation puts the energy relative to the elements at -667 meV/atom. The space group is Cmcm. The calculation puts the energy above the lowest structure with this stoichiometry at 0.00 eV/f.u.